[1]
Crystalline YBeIn2 at its relaxed geometry. Source: the Alexandria database, functional PBE-GGA.

Calculated values
D(E_F) ... 0.496 states/eV per atom
Final energy ... -3.772 eV per atom
Calculated volume ... 87.96 Å³/f.u.

Lattice parameters (Å, degrees): 4.9919 4.9919 4.9919 60.00 60.00 60.00
Last column: nearest neighbours and their distance in Å.
Fractional coordinates of all 4 atoms:
Y 0.0000 0.0000 0.0000  4 Be 3.06, 4 In 3.06
Be 0.7500 0.7500 0.7500  4 In 3.06, 4 Y 3.06
In 0.2500 0.2500 0.2500  4 In 3.06, 4 Y 3.06
In 0.5000 0.5000 0.5000  4 Be 3.06, 4 In 3.06

[2]
Crystalline BeVRuRh at its relaxed geometry. Source: the Alexandria database, functional PBE-GGA.

Calculated values
D(E_F) ... 0.474 states/eV per atom
Final energy ... -7.851 eV per atom
Calculated volume ... 49.26 Å³/f.u.

Lattice parameters (Å, degrees): 2.9245 2.9245 5.7593 90.00 90.00 90.00
Last column: nearest neighbours and their distance in Å.
Fractional coordinates of all 4 atoms:
Be 0.0000 0.0000 0.0000  4 Rh 2.46, 4 Ru 2.48
V 0.0000 0.0000 0.5142  4 Ru 2.51, 4 Rh 2.63, 1 Be 2.80
Ru 0.5000 0.5000 0.7609  4 Be 2.48, 4 V 2.51, 1 Rh 2.72
Rh 0.5000 0.5000 0.2324  4 Be 2.46, 4 V 2.63, 1 Ru 2.72